Version 1
Material: HgBiSb2I
Method: DFT, PBE
State: relaxed

abc: 5.9765 5.9765 6.3320
angles: 90.00 90.00 90.00
Closest atoms and distances in Å follow each position.
Atoms (fractional coordinates):
Bi 0.0000 0.0000 0.0000  4 Sb 2.99, 2 I 3.17
Hg 0.5000 0.5000 0.5000  4 I 4.23, 8 Sb 4.35
Sb 0.5000 0.0000 0.0000  2 Bi 2.99
Sb 0.0000 0.5000 0.0000  2 Bi 2.99
I 0.0000 0.0000 0.5000  2 Bi 3.17

Version 2
Material: HgBiSb2I
Method: DFT, PBE
State: relaxed

abc: 5.6112 5.6112 5.6687
angles: 90.00 90.00 90.00
Closest atoms and distances in Å follow each position.
Atoms (fractional coordinates):
Bi 0.5000 0.5000 0.5000  4 I 3.97, 8 Sb 3.99
I 0.0000 0.0000 0.5000  2 Hg 2.83
Sb 0.5000 0.0000 0.0000  2 Hg 2.81
Sb 0.0000 0.5000 0.0000  2 Hg 2.81
Hg 0.0000 0.0000 0.0000  4 Sb 2.81, 2 I 2.83

Most stable of them? version 1.

Version 1
Material: InHg4Bi
Method: DFT, PBE
State: relaxed

abc: 5.6973 5.6999 5.9649
angles: 98.27 81.21 120.19
Closest atoms and distances in Å follow each position.
Atoms (fractional coordinates):
Hg 0.6649 0.8366 0.4959  4 Hg 3.11-3.29, 1 Bi 3.17, 3 In 3.28-3.29
Hg 0.3303 0.1710 0.5059  4 Hg 3.11-3.29, 1 Bi 3.18, 3 In 3.28-3.29
Hg 0.8318 0.6680 0.0040  4 Hg 3.11-3.29, 1 In 3.16, 3 Bi 3.28-3.30
Hg 0.1653 0.3350 0.9994  4 Hg 3.11-3.29, 1 In 3.17, 3 Bi 3.28-3.30
In 0.9978 0.5043 0.5013  8 Hg 3.16-3.29
Bi 0.4987 0.0014 0.0013  8 Hg 3.17-3.30

Version 2
Material: InHg4Bi
Method: DFT, PBE
State: relaxed

abc: 6.1660 6.1660 6.1660
angles: 60.00 60.00 60.00
Closest atoms and distances in Å follow each position.
Atoms (fractional coordinates):
Hg 0.6251 0.1247 0.6251  6 Hg 3.08-3.09
Hg 0.6251 0.6251 0.1247  6 Hg 3.08-3.09
Hg 0.6251 0.6251 0.6251  6 Hg 3.08-3.09
Hg 0.1247 0.6251 0.6251  6 Hg 3.08-3.09
In 0.0000 0.0000 0.0000  12 Hg 3.61, 4 Bi 3.78
Bi 0.2500 0.2500 0.2500  12 Hg 3.62, 4 In 3.78

Most stable of them? version 1.

Version 1
Material: In2Hg2Bi
Method: DFT, PBE
State: relaxed

abc: 3.4059 3.4059 14.4616
angles: 90.00 90.00 120.00
Closest atoms and distances in Å follow each position.
Atoms (fractional coordinates):
In 0.3333 0.6667 0.2963  6 In 3.41, 3 Hg 3.49, 3 Bi 3.54
In 0.6667 0.3333 0.7037  6 In 3.41, 3 Hg 3.49, 3 Bi 3.54
Bi 0.0000 0.0000 0.5000  6 Bi 3.41, 6 In 3.54
Hg 0.3333 0.6667 0.9033  9 Hg 3.41-3.42, 3 In 3.49
Hg 0.6667 0.3333 0.0967  9 Hg 3.41-3.42, 3 In 3.49

Version 2
Material: In2Hg2Bi
Method: DFT, PBE
State: relaxed

abc: 3.5124 3.5124 11.7842
angles: 98.57 98.57 90.00
Closest atoms and distances in Å follow each position.
Atoms (fractional coordinates):
In 0.3945 0.3945 0.7890  4 Hg 3.35, 4 Bi 3.48, 4 In 3.51
In 0.6055 0.6055 0.2110  4 Hg 3.35, 4 Bi 3.48, 4 In 3.51
Hg 0.2031 0.2031 0.4062  8 Hg 3.29-3.51, 4 In 3.35
Hg 0.7969 0.7969 0.5938  8 Hg 3.29-3.51, 4 In 3.35
Bi 0.0000 0.0000 0.0000  8 In 3.48, 4 Bi 3.51

Version 3
Material: In2Hg2Bi
Method: DFT, PBE
State: relaxed

abc: 4.4644 4.4644 7.7746
angles: 73.31 73.31 90.00
Closest atoms and distances in Å follow each position.
Atoms (fractional coordinates):
Bi 0.0000 0.0000 0.0000  8 Hg 3.46
In 0.7500 0.2500 0.5000  4 Hg 3.10, 4 In 3.16
In 0.2500 0.7500 0.5000  4 Hg 3.10, 4 In 3.16
Hg 0.5991 0.5991 0.8018  1 Hg 2.82, 4 In 3.10
Hg 0.4009 0.4009 0.1982  1 Hg 2.82, 4 In 3.10

Version 4
Material: In2Hg2Bi
Method: DFT, PBE
State: relaxed

abc: 8.8780 8.8780 3.5283
angles: 90.00 90.00 90.00
Closest atoms and distances in Å follow each position.
Atoms (fractional coordinates):
In 0.1372 0.6372 0.5000  6 Hg 3.07-3.20
In 0.3628 0.1372 0.5000  6 Hg 3.07-3.20
In 0.8628 0.3628 0.5000  6 Hg 3.07-3.20
In 0.6372 0.8628 0.5000  6 Hg 3.07-3.20
Hg 0.8374 0.6626 0.0000  6 In 3.07-3.20, 2 Bi 3.33
Hg 0.6626 0.1626 0.0000  6 In 3.07-3.20, 2 Bi 3.33
Hg 0.3374 0.8374 0.0000  6 In 3.07-3.20, 2 Bi 3.33
Hg 0.1626 0.3374 0.0000  6 In 3.07-3.20, 2 Bi 3.33
Bi 0.0000 0.0000 0.0000  4 Hg 3.33, 2 Bi 3.53
Bi 0.5000 0.5000 0.0000  4 Hg 3.33, 2 Bi 3.53

Most stable of them? version 2.

Version 1
Material: In2Hg2Bi
Method: DFT, PBE
State: relaxed

abc: 4.3089 4.3089 8.4129
angles: 75.16 75.16 90.00
Closest atoms and distances in Å follow each position.
Atoms (fractional coordinates):
Bi 0.0000 0.0000 0.0000  8 In 3.41
Hg 0.7500 0.2500 0.5000  4 Hg 3.05, 4 In 3.21
Hg 0.2500 0.7500 0.5000  4 Hg 3.05, 4 In 3.21
In 0.4020 0.4020 0.1959  1 In 3.07, 4 Hg 3.21, 4 Bi 3.41
In 0.5980 0.5980 0.8041  1 In 3.07, 4 Hg 3.21, 4 Bi 3.41

Version 2
Material: In2Hg2Bi
Method: DFT, PBE
State: relaxed

abc: 9.1264 9.1264 3.3981
angles: 90.00 90.00 90.00
Closest atoms and distances in Å follow each position.
Atoms (fractional coordinates):
Hg 0.8801 0.3801 0.5000  6 In 3.05-3.31, 3 Hg 3.09-3.40
Hg 0.1199 0.6199 0.5000  6 In 3.05-3.31, 3 Hg 3.09-3.40
Hg 0.3801 0.1199 0.5000  6 In 3.05-3.31, 3 Hg 3.09-3.40
Hg 0.6199 0.8801 0.5000  6 In 3.05-3.31, 3 Hg 3.09-3.40
In 0.1842 0.3158 0.0000  6 Hg 3.05-3.31, 2 Bi 3.34, 2 In 3.40
In 0.8158 0.6842 0.0000  6 Hg 3.05-3.31, 2 Bi 3.34, 2 In 3.40
In 0.6842 0.1842 0.0000  6 Hg 3.05-3.31, 2 Bi 3.34, 2 In 3.40
In 0.3158 0.8158 0.0000  6 Hg 3.05-3.31, 2 Bi 3.34, 2 In 3.40
Bi 0.5000 0.5000 0.0000  4 In 3.34, 2 Bi 3.40
Bi 0.0000 0.0000 0.0000  4 In 3.34, 2 Bi 3.40

Most stable of them? version 2.

Version 1
Material: In7Hg2Bi2
Method: DFT, PBE
State: relaxed

abc: 6.2426 8.9634 7.0783
angles: 55.89 87.03 72.38
Closest atoms and distances in Å follow each position.
Atoms (fractional coordinates):
In 0.7965 0.4422 0.2076  2 Hg 3.22-3.28, 6 In 3.27-3.58, 2 Bi 3.36-3.43
In 0.2898 0.6296 0.9138  6 In 3.27-3.49, 2 Hg 3.29-3.31, 3 Bi 3.41-3.65
In 0.6320 0.1801 0.0882  1 Hg 3.18, 6 In 3.25-3.44, 2 Bi 3.33-3.41
In 0.4702 0.8887 0.0354  2 Hg 3.20-3.31, 6 In 3.24-3.58, 2 Bi 3.35-3.46
In 0.9140 0.0719 0.7591  2 Hg 3.19-3.50, 6 In 3.25-3.50, 2 Bi 3.26-3.43
In 0.0933 0.3634 0.8267  3 Hg 3.26-3.55, 7 In 3.30-3.65, 2 Bi 3.39-3.46
In 0.1677 0.9857 0.3619  6 In 3.24-3.58, 2 Bi 3.25-3.41, 2 Hg 3.32-3.51
Hg 0.0076 0.7040 0.2776  6 In 3.19-3.32, 1 Hg 3.43, 2 Bi 3.45-3.47
Hg 0.5462 0.5296 0.5607  8 In 3.18-3.55, 1 Hg 3.43, 1 Bi 3.50
Bi 0.3364 0.2415 0.4724  7 In 3.25-3.45, 1 Bi 3.43, 2 Hg 3.47-3.57
Bi 0.7462 0.8170 0.6428  8 In 3.26-3.65, 1 Bi 3.43, 2 Hg 3.45-3.50

Version 2
Material: In7Hg2Bi2
Method: DFT, PBE
State: relaxed

abc: 6.5147 7.1995 7.1995
angles: 101.11 101.42 101.42
Closest atoms and distances in Å follow each position.
Atoms (fractional coordinates):
Bi 0.4377 0.8178 0.8178  1 Bi 3.18, 3 In 3.29-3.52
Bi 0.5623 0.1822 0.1822  1 Bi 3.18, 3 In 3.29-3.52
In 0.8159 0.5767 0.0778  2 Hg 3.01-3.11, 3 In 3.14-3.32, 1 Bi 3.29
In 0.1331 0.3742 0.3742  2 Hg 3.22, 6 In 3.26-3.41, 1 Bi 3.58
In 0.8159 0.0778 0.5767  2 Hg 3.01-3.11, 3 In 3.14-3.32, 1 Bi 3.29
In 0.8669 0.6258 0.6258  2 Hg 3.22, 6 In 3.26-3.41, 1 Bi 3.58
In 0.1841 0.9222 0.4233  2 Hg 3.01-3.11, 3 In 3.14-3.32, 1 Bi 3.29
In 0.1841 0.4233 0.9222  2 Hg 3.01-3.11, 3 In 3.14-3.32, 1 Bi 3.29
In 0.0000 0.0000 0.0000  6 In 3.24-3.26, 2 Bi 3.52
Hg 0.5000 0.2974 0.7026  6 In 3.01-3.22
Hg 0.5000 0.7026 0.2974  6 In 3.01-3.22

Most stable of them? version 1.

Version 1
Material: InHg2Bi2
Method: DFT, PBE
State: relaxed

abc: 10.4866 7.4931 9.8434
angles: 126.30 90.00 134.41
Closest atoms and distances in Å follow each position.
Atoms (fractional coordinates):
Bi 0.6222 0.6167 0.8377  3 Hg 3.11-3.25, 1 In 3.14, 2 Bi 3.32
Bi 0.0055 0.3833 0.6623  3 Hg 3.11-3.25, 1 In 3.14, 2 Bi 3.32
Bi 0.9945 0.6167 0.3377  3 Hg 3.11-3.25, 1 In 3.14, 2 Bi 3.32
Bi 0.3778 0.3833 0.1623  3 Hg 3.11-3.25, 1 In 3.14, 2 Bi 3.32
Hg 0.6979 0.4921 0.0745  1 In 2.99, 3 Bi 3.11-3.25, 1 Hg 3.22
Hg 0.7942 0.4921 0.5745  1 In 2.99, 3 Bi 3.11-3.25, 1 Hg 3.22
Hg 0.3021 0.5079 0.9255  1 In 2.99, 3 Bi 3.11-3.25, 1 Hg 3.22
Hg 0.2058 0.5079 0.4255  1 In 2.99, 3 Bi 3.11-3.25, 1 Hg 3.22
In 0.3194 0.0000 0.2500  2 Hg 2.99, 2 Bi 3.14
In 0.6806 0.0000 0.7500  2 Hg 2.99, 2 Bi 3.14

Version 2
Material: InHg2Bi2
Method: DFT, PBE
State: relaxed

abc: 9.2145 9.2145 3.4958
angles: 90.00 90.00 90.00
Closest atoms and distances in Å follow each position.
Atoms (fractional coordinates):
Bi 0.8219 0.6781 0.0000  6 Hg 3.14-3.31, 2 In 3.39, 2 Bi 3.50
Bi 0.3219 0.8219 0.0000  6 Hg 3.14-3.31, 2 In 3.39, 2 Bi 3.50
Bi 0.6781 0.1781 0.0000  6 Hg 3.14-3.31, 2 In 3.39, 2 Bi 3.50
Bi 0.1781 0.3219 0.0000  6 Hg 3.14-3.31, 2 In 3.39, 2 Bi 3.50
Hg 0.6218 0.8782 0.5000  6 Bi 3.14-3.31, 3 Hg 3.17-3.50
Hg 0.8782 0.3782 0.5000  6 Bi 3.14-3.31, 3 Hg 3.17-3.50
Hg 0.1218 0.6218 0.5000  6 Bi 3.14-3.31, 3 Hg 3.17-3.50
Hg 0.3782 0.1218 0.5000  6 Bi 3.14-3.31, 3 Hg 3.17-3.50
In 0.0000 0.0000 0.0000  4 Bi 3.39, 2 In 3.50
In 0.5000 0.5000 0.0000  4 Bi 3.39, 2 In 3.50

Most stable of them? version 1.